(1)
! Ti2VOs PBE relaxed; values from VASP
&SYSTEM
  ibrav = 0, nat = 4, ntyp = 3
/
ATOMIC_SPECIES
Ti 47.87 Ti.upf
V 50.94 V.upf
Os 190.23 Os.upf
CELL_PARAMETERS angstrom
3.071 0.000 0.000
0.000 3.071 0.000
0.000 0.000 6.365
ATOMIC_POSITIONS angstrom
Ti 0.000 0.000 1.549
Ti 0.000 0.000 4.816
V 1.536 1.536 3.182
Os 1.536 1.536 0.000
! Raw total energy: -9.35 eV per atom



(2)
! Ti5Mn4Cr PBE relaxed; values from VASP
&SYSTEM
  ibrav = 0, nat = 10, ntyp = 3
/
ATOMIC_SPECIES
Ti 47.87 Ti.upf
Mn 54.94 Mn.upf
Cr 52.00 Cr.upf
CELL_PARAMETERS angstrom
3.004 0.000 0.000
0.000 3.004 0.000
0.000 0.000 15.068
ATOMIC_POSITIONS angstrom
Ti 0.000 0.000 0.000
Ti 0.000 0.000 2.986
Ti 0.000 0.000 5.946
Ti 0.000 0.000 9.123
Ti 0.000 0.000 12.082
Mn 1.502 1.502 1.490
Mn 1.502 1.502 4.490
Mn 1.502 1.502 10.578
Mn 1.502 1.502 13.578
Cr 1.502 1.502 7.534
! Raw total energy: -8.75 eV per atom



(3)
! Zn2CrTc PBE relaxed; values from VASP
&SYSTEM
  ibrav = 0, nat = 4, ntyp = 3
/
ATOMIC_SPECIES
Zn 65.41 Zn.upf
Cr 52.00 Cr.upf
Tc 98.00 Tc.upf
CELL_PARAMETERS angstrom
3.657 0.000 0.000
0.000 3.657 0.000
0.000 0.000 4.137
ATOMIC_POSITIONS angstrom
Zn 0.000 1.829 0.000
Zn 1.829 0.000 0.000
Cr 0.000 0.000 2.069
Tc 1.829 1.829 2.069
! Polymorph energy (0 for the lowest one): 119 meV/atom



(4)
! Mg2MnSn PBE relaxed; values from VASP
&SYSTEM
  ibrav = 0, nat = 4, ntyp = 3
/
ATOMIC_SPECIES
Mg 24.30 Mg.upf
Mn 54.94 Mn.upf
Sn 118.71 Sn.upf
CELL_PARAMETERS angstrom
4.277 0.000 0.000
0.000 4.277 0.000
0.000 0.000 4.313
ATOMIC_POSITIONS angstrom
Mg 0.000 2.138 0.000
Mg 2.138 0.000 0.000
Mn 0.000 0.000 2.156
Sn 2.138 2.138 2.156
! Raw total energy: -4.09 eV per atom



Number 1: DOS at the Fermi energy 1.59 states/eV/atom. Number 2: DOS at the Fermi energy 1.29 states/eV/atom. Number 3: DOS at the Fermi energy 0.82 states/eV/atom. Number 4: DOS at the Fermi energy 0.39 states/eV/atom.